{
  "formula": "SmCu6P2",
  "functional": "GGA-PBE",
  "state": "relaxed",
  "delta_e_f_mev_per_atom": -379,
  "magnetic_moment_mub_per_cell": 0.00,
  "cell": [[-0.996, -3.325, 1.562], [3.640, -0.675, 0.885], [-1.151, 4.004, 7.788]],
  "species": ["Sm", "Cu", "P", "Cu", "Cu", "Cu", "P", "Cu", "Cu"],
  "frac_coords": [[0.000, 0.000, 0.000], [0.500, 0.000, 0.303], [0.500, 0.500, 0.147], [0.500, 0.500, 0.500], [0.000, 0.000, 0.500], [0.000, 0.500, 0.303], [0.500, 0.500, 0.853], [0.500, 0.000, 0.697], [0.000, 0.500, 0.697]]
}